1.
DFT (GGA-PBE) results for crystalline Sr2ZrTcSe6 at its relaxed geometry.

Cell: 6.896 6.938 7.173 Å, 118.60 117.92 90.21°
Site moments in Bohr magnetons follow the coordinates.
Fractional coordinates of all 10 atoms:
Tc  0.000  0.500  0.500  1.77
Sr  0.766  0.734  0.000  0.01
Sr  0.234  0.266  0.000  0.01
Se  0.159  0.174  0.493  0.05
Se  0.841  0.826  0.507  0.05
Se  0.342  0.679  0.534  0.06
Se  0.772  0.277  0.013  0.05
Se  0.658  0.321  0.465  0.06
Se  0.228  0.723  0.987  0.05
Zr  0.500  0.000  0.500  0.00

Summary:
Magnetic moment: 2.546 Bohr magnetons per cell
E: -5.442 eV per atom
Space-group type: P-1 (2)

2.
DFT (GGA-PBE) results for crystalline BeZn2 at its relaxed geometry.

Cell: 7.203 7.203 7.203 Å, 60.00 60.00 60.00°
Fractional coordinates of all 6 atoms:
Zn  0.875  0.375  0.375
Zn  0.375  0.375  0.875
Zn  0.375  0.375  0.375
Zn  0.375  0.875  0.375
Be  0.250  0.250  0.250
Be  0.500  0.500  0.500

Summary:
E: -1.121 eV per atom
Space-group type: Fd-3m (227)

3.
DFT (GGA-PBE) results for crystalline ErZnInSe3 at its relaxed geometry.

Cell: 8.217 4.078 10.523 Å, 90.00 108.88 90.00°
Fractional coordinates of all 12 atoms:
Zn  0.925  0.750  0.391
Zn  0.075  0.250  0.609
Se  0.772  0.250  0.438
Se  0.939  0.750  0.161
Se  0.552  0.250  0.859
Se  0.228  0.750  0.562
Se  0.061  0.250  0.839
Se  0.448  0.750  0.141
In  0.728  0.750  0.713
In  0.272  0.250  0.287
Er  0.691  0.250  0.140
Er  0.309  0.750  0.860

Summary:
Magnetic moment: 0.018 Bohr magnetons per cell
E: -4.222 eV per atom
Space-group type: P2_1/m (11)

4.
DFT (GGA-PBE) results for crystalline NaTl2FeI6 at its relaxed geometry.

Cell: 8.236 8.236 8.236 Å, 60.00 60.00 60.00°
Site moments in Bohr magnetons follow the coordinates.
Fractional coordinates of all 10 atoms:
I  0.238  0.762  0.238  0.13
I  0.238  0.238  0.762  0.12
I  0.762  0.238  0.762  0.13
I  0.762  0.762  0.238  0.12
I  0.238  0.762  0.762  0.13
I  0.762  0.238  0.238  0.13
Na  0.500  0.500  0.500  0.01
Tl  0.250  0.250  0.250  0.00
Tl  0.750  0.750  0.750  0.00
Fe  0.000  0.000  0.000  3.66

Summary:
Magnetic moment: 5.004 Bohr magnetons per cell
E: -2.814 eV per atom
Space-group type: Fm-3m (225)

5.
DFT (GGA-PBE) results for crystalline NiPdSe3 at its relaxed geometry.

Cell: 6.300 6.300 9.719 Å, 91.32 91.32 34.80°
Fractional coordinates of all 10 atoms:
Pd  0.614  0.614  0.949
Pd  0.386  0.386  0.051
Ni  0.092  0.092  0.321
Ni  0.908  0.908  0.679
Se  0.080  0.080  0.784
Se  0.596  0.596  0.453
Se  0.829  0.829  0.889
Se  0.171  0.171  0.111
Se  0.920  0.920  0.216
Se  0.404  0.404  0.547

Summary:
Magnetic moment: 0.014 Bohr magnetons per cell
E: -4.415 eV per atom
Space-group type: C2/m (12)

6.
DFT (GGA-PBE) results for crystalline TlOsAuSe2S at its relaxed geometry.

Cell: 8.736 8.736 8.974 Å, 90.00 90.00 153.95°
Fractional coordinates of all 12 atoms:
Se  0.401  0.599  0.012
Se  0.599  0.401  0.988
Se  0.599  0.401  0.512
Se  0.401  0.599  0.488
S  0.999  0.001  0.750
S  0.001  0.999  0.250
Os  0.000  0.000  0.000
Os  0.000  0.000  0.500
Tl  0.278  0.722  0.250
Tl  0.722  0.278  0.750
Au  0.350  0.650  0.750
Au  0.650  0.350  0.250

Summary:
Magnetic moment: 0.005 Bohr magnetons per cell
E: -4.663 eV per atom
Space-group type: Cmcm (63)

7.
DFT (GGA-PBE) results for crystalline PmErB at its relaxed geometry.

Cell: 4.568 4.568 4.568 Å, 60.00 60.00 60.00°
Fractional coordinates of all 3 atoms:
Pm  0.750  0.750  0.750
B  0.000  0.000  0.000
Er  0.250  0.250  0.250

Summary:
Magnetic moment: 0.026 Bohr magnetons per cell
E: -5.208 eV per atom
Space-group type: F-43m (216)

8.
DFT (GGA-PBE) results for crystalline PrMgTlTe3 at its relaxed geometry.

Cell: 8.064 8.064 12.134 Å, 90.00 90.00 147.13°
Fractional coordinates of all 12 atoms:
Te  0.576  0.424  0.750
Te  0.137  0.863  0.437
Te  0.424  0.576  0.250
Te  0.863  0.137  0.563
Te  0.863  0.137  0.937
Te  0.137  0.863  0.063
Mg  0.033  0.967  0.250
Mg  0.967  0.033  0.750
Tl  0.741  0.259  0.250
Tl  0.259  0.741  0.750
Pr  0.500  0.500  0.000
Pr  0.500  0.500  0.500

Summary:
Magnetic moment: 0.003 Bohr magnetons per cell
E: -3.987 eV per atom
Space-group type: Cmcm (63)

9.
DFT (GGA-PBE) results for crystalline GaFeNiW at its relaxed geometry.

Cell: 4.203 4.203 4.203 Å, 60.00 60.00 60.00°
Fractional coordinates of all 4 atoms:
Fe  0.750  0.750  0.750
Ni  0.500  0.500  0.500
Ga  0.000  0.000  0.000
W  0.250  0.250  0.250

Summary:
Magnetic moment: 1.584 Bohr magnetons per cell
E: -7.291 eV per atom
Space-group type: F-43m (216)

10.
DFT (GGA-PBE) results for crystalline TmAlPO at its relaxed geometry.

Cell: 4.035 4.035 9.255 Å, 90.00 90.00 90.00°
Fractional coordinates of all 8 atoms:
O  0.000  0.500  0.000
O  0.500  0.000  0.000
Tm  0.500  0.000  0.500
Tm  0.000  0.500  0.500
Al  0.000  0.000  0.058
Al  0.500  0.500  0.942
P  0.000  0.000  0.307
P  0.500  0.500  0.693

Summary:
Magnetic moment: 0.033 Bohr magnetons per cell
E: -5.722 eV per atom
Space-group type: P4/nmm (129)

11.
DFT (GGA-PBE) results for crystalline CdSb2As at its relaxed geometry.

Cell: 5.169 5.169 5.169 Å, 60.00 60.00 60.00°
Fractional coordinates of all 4 atoms:
Cd  0.250  0.250  0.250
Sb  0.750  0.750  0.750
Sb  0.000  0.000  0.000
As  0.500  0.500  0.500

Summary:
E: -3.188 eV per atom
Space-group type: F-43m (216)

12.
DFT (GGA-PBE) results for crystalline TbHo2Cu4Si2Sn2 at its relaxed geometry.

Cell: 8.181 8.181 8.181 Å, 149.45 132.23 57.78°
Fractional coordinates of all 11 atoms:
Ho  0.623  0.123  0.500
Ho  0.377  0.877  0.500
Cu  0.346  0.654  0.691
Cu  0.037  0.346  0.691
Cu  0.963  0.654  0.309
Cu  0.654  0.346  0.309
Si  0.681  0.500  0.181
Si  0.319  0.500  0.819
Tb  0.000  0.000  0.000
Sn  0.782  0.782  0.000
Sn  0.218  0.218  0.000

Summary:
Magnetic moment: 0.002 Bohr magnetons per cell
E: -4.912 eV per atom
Space-group type: Immm (71)